(1)
Crystalline Ba3Mo2N2O6 at its relaxed geometry, computed with PBE+U.

```
13
Lattice="8.014 -0.011 -0.007 5.697 5.637 -0.007 5.697 2.337 5.129" Properties=species:S:1:pos:R:3 pbc="T T T"
O 8.056 3.306 3.937
O 9.215 2.132 1.369
O 11.351 3.008 3.746
O 8.056 4.955 1.369
O 10.193 5.831 3.746
O 11.351 4.657 1.178
Mo 11.511 4.723 3.034
Mo 7.897 3.240 2.081
N 6.330 2.597 1.668
N 13.077 5.366 3.447
Ba 0.000 0.000 0.000
Ba 3.911 1.605 1.031
Ba 15.496 6.358 4.084
```

Results
Total moment ... 0.00 Bohr magnetons per cell
Total DFT energy (no corrections) ... -6.9754 eV per atom
V ... 17.867 A^3/atom

***

(2)
Crystalline BaMoN2O at its relaxed geometry, computed with PBE+U.

```
5
Lattice="-1.677 -2.692 -2.534 -0.306 -2.672 3.041 -3.809 1.496 0.932" Properties=species:S:1:pos:R:3 pbc="T T T"
Mo 0.000 0.000 0.000
O -1.904 0.748 0.466
N -0.838 -1.346 -1.267
N -0.153 -1.336 1.520
Ba -2.896 -1.934 0.719
```

Results
Total moment ... 0.15 Bohr magnetons per cell
Total DFT energy (no corrections) ... -6.9210 eV per atom
V ... 13.834 A^3/atom

***

(3)
Crystalline BaMoN2O at its relaxed geometry, computed with PBE+U.

```
5
Lattice="4.700 0.000 0.000 0.000 4.700 0.000 0.000 0.000 4.543" Properties=species:S:1:pos:R:3 pbc="T T T"
N 0.000 2.350 0.000
N 2.350 0.000 0.000
O 0.000 0.000 2.271
Ba 0.000 0.000 0.000
Mo 2.350 2.350 2.271
```

Results
Total moment ... 2.78 Bohr magnetons per cell
Total DFT energy (no corrections) ... -4.4381 eV per atom
V ... 20.069 A^3/atom